No. 1
Density functional theory data (GGA-PBEsol) for a relaxed MgReOs2 crystal.

Cell: 4.6909 4.6909 2.7509 Å, 90.00 90.00 105.40°
Last column: nearest neighbours and their distance in Å.
Positions (direct):
Mg 0.0000 0.0000 0.0000  8 Os 2.72, 2 Mg 2.75, 2 Re 2.84
Re 0.5000 0.5000 0.0000  8 Os 2.72, 2 Re 2.75, 2 Mg 2.84
Os 0.0000 0.5000 0.5000  4 Re 2.72, 4 Mg 2.72, 4 Os 2.75-2.84
Os 0.5000 0.0000 0.5000  4 Re 2.72, 4 Mg 2.72, 4 Os 2.75-2.84

Computed properties:
E_form: 34.2 kJ/mol of atoms
symmetry: Cmmm (65)

---

No. 2
Density functional theory data (GGA-PBEsol) for a relaxed Zn3HSe crystal.

Cell: 4.9423 4.9423 4.9423 Å, 90.00 90.00 90.00°
Last column: nearest neighbours and their distance in Å.
Positions (direct):
Zn 0.0000 0.0000 0.5000  2 Se 2.47
Zn 0.0000 0.5000 0.0000  2 Se 2.47
Zn 0.5000 0.0000 0.0000  2 Se 2.47
H 0.5000 0.5000 0.5000  12 Zn 3.49
Se 0.0000 0.0000 0.0000  6 Zn 2.47

Computed properties:
total energy: -7.43 eV per cell
symmetry: Pm-3m (221)

---

No. 3
Density functional theory data (GGA-PBEsol) for a relaxed CaLaIn2 crystal.

Cell: 5.7297 5.7297 3.5266 Å, 90.00 90.00 103.22°
Last column: nearest neighbours and their distance in Å.
Positions (direct):
Ca 0.0000 0.0000 0.0000  8 In 3.36, 2 Ca 3.53, 2 La 3.56
La 0.5000 0.5000 0.0000  8 In 3.36, 2 La 3.53, 2 Ca 3.56
In 0.0000 0.5000 0.5000  4 Ca 3.36, 4 La 3.36, 4 In 3.53-3.56
In 0.5000 0.0000 0.5000  4 Ca 3.36, 4 La 3.36, 4 In 3.53-3.56

Computed properties:
E_form: -47.2 kJ/mol of atoms
symmetry: Cmmm (65)

---

Magnetization for the records above, in order: 0.0, 0.0, 0.0 μB/f.u.